Cs2BrCl: single point on PBEsol structure, SCAN.

Summary:
- Density of states at the Fermi level: 0.000 states/eV/atom
- Formation energy without anion corrections: -1.952 eV per atom
- Energy: -27.72 eV/atom
- Spin magnetization: 0.042 μB per atom
- Energy above the most stable polymorph in this dataset: 0.131 eV per atom

Unit cell a=7.9103 b=7.9103 c=15.3172 alpha=90.00 beta=90.00 gamma=90.00
Space group I-42d (No. 122)
Asymmetric unit:
Cs1 0.2300 0.2500 0.1250
Br1 0.0000 0.0000 0.5000
Cl1 0.0000 0.0000 0.0000